Model w:
RuPt2Rh6 after structural relaxation, computed with PBE-GGA.

Output
Calculated volume (Å³/f.u.): 130.1
Crystal system: triclinic

Lattice parameters (Å, degrees): 7.2357 7.2388 6.1164 85.06 64.86 64.59
Fractional positions:
Rh 0.9194 0.0800 0.3312
Rh 0.6388 0.0302 0.7835
Rh 0.2463 0.7547 0.0029
Rh 0.0806 0.9200 0.6688
Rh 0.6933 0.6411 0.8901
Rh 0.3612 0.9698 0.2165
Rh 0.7537 0.2453 0.9971
Rh 0.5861 0.4148 0.6691
Rh 0.0266 0.3051 0.5596
Rh 0.4139 0.5852 0.3309
Rh 0.9734 0.6949 0.4404
Rh 0.3067 0.3589 0.1099
Ru 0.1934 0.1366 0.8924
Ru 0.8066 0.8634 0.1076
Pt 0.8609 0.4702 0.2197
Pt 0.1391 0.5298 0.7803
Pt 0.4729 0.1929 0.4412
Pt 0.5271 0.8071 0.5588

***

Model x:
RuPt2Rh6 after structural relaxation, computed with PBE-GGA.

Output
Calculated volume (Å³/f.u.): 133.5
Crystal system: monoclinic

Lattice parameters (Å, degrees): 4.6777 4.2729 8.1339 99.27 90.00 123.19
Fractional positions:
Rh 0.6726 0.3453 0.2767
Rh 0.9981 0.9962 0.8223
Rh 0.3310 0.6619 0.3979
Rh 0.3274 0.6547 0.7233
Rh 0.0019 0.0038 0.1777
Rh 0.6690 0.3381 0.6021
Ru 0.0000 0.0000 0.5000
Pt 0.6680 0.3360 0.9411
Pt 0.3320 0.6640 0.0589

***

Stability, lowest: model x